Entry 1:
## KCeICl4 (PBE)

Data for a geometry-optimized KCeICl4 structure.

CIF file:
```
data_KCeICl4
_chemical_formula_sum 'K4 Ce4 I4 Cl16'
_symmetry_space_group_name_H-M 'C 1 2/m 1'
_symmetry_Int_Tables_number 12
_symmetry_space_group_name_Hall '-C 2y'
_cell_length_a 13.038
_cell_length_b 9.492
_cell_length_c 11.648
_cell_angle_alpha 90.00
_cell_angle_beta 115.72
_cell_angle_gamma 90.00
loop_
_atom_site_label
_atom_site_type_symbol
_atom_site_fract_x
_atom_site_fract_y
_atom_site_fract_z
K1 K 0.116 0.000 0.376
Ce1 Ce 0.138 0.500 0.212
I1 I 0.129 0.500 0.937
Cl1 Cl 0.121 0.500 0.425
Cl2 Cl 0.135 0.228 0.196
Cl3 Cl 0.138 0.000 0.664
```

---

Entry 2:
# RbCeICl4 (PBE, relaxed)
data_RbCeICl4
_chemical_formula_sum 'Rb4 Ce4 I4 Cl16'
_symmetry_space_group_name_H-M 'C 1 2/m 1'
_symmetry_Int_Tables_number 12
_symmetry_space_group_name_Hall '-C 2y'
_cell_length_a 17.371
_cell_length_b 10.327
_cell_length_c 8.691
_cell_angle_alpha 90.00
_cell_angle_beta 111.94
_cell_angle_gamma 90.00
loop_
_atom_site_label
_atom_site_type_symbol
_atom_site_fract_x
_atom_site_fract_y
_atom_site_fract_z
Rb1 Rb 0.217 0.000 0.083
Ce1 Ce 0.120 0.500 0.210
I1 I 0.015 0.000 0.181
Cl1 Cl 0.048 0.500 0.859
Cl2 Cl 0.152 0.500 0.524
Cl3 Cl 0.214 0.313 0.182
# Fermi-level density of states: 0.815 states/eV/atom

---

Entry 3:
## Rb2CeI2Cl4 (PBE)

Data for a geometry-optimized Rb2CeI2Cl4 structure.

CIF file:
```
data_Rb2CeI2Cl4
_chemical_formula_sum 'Rb4 Ce2 I4 Cl8'
_symmetry_space_group_name_H-M 'I 4/m m m'
_symmetry_Int_Tables_number 139
_symmetry_space_group_name_Hall '-I 4 2'
_cell_length_a 7.887
_cell_length_b 7.887
_cell_length_c 11.348
_cell_angle_alpha 90.00
_cell_angle_beta 90.00
_cell_angle_gamma 90.00
loop_
_atom_site_label
_atom_site_type_symbol
_atom_site_fract_x
_atom_site_fract_y
_atom_site_fract_z
Rb1 Rb 0.000 0.500 0.250
Ce1 Ce 0.000 0.000 0.000
I1 I 0.000 0.000 0.269
Cl1 Cl 0.235 0.235 0.000
```

---

Entry 4:
## CeTl2I4Cl2 (PBE)

Data for a geometry-optimized CeTl2I4Cl2 structure.

CIF file:
```
data_CeTl2I4Cl2
_chemical_formula_sum 'Ce2 Tl4 I8 Cl4'
_symmetry_space_group_name_H-M 'C 1 2/m 1'
_symmetry_Int_Tables_number 12
_symmetry_space_group_name_Hall '-C 2y'
_cell_length_a 14.135
_cell_length_b 8.507
_cell_length_c 7.489
_cell_angle_alpha 90.00
_cell_angle_beta 114.28
_cell_angle_gamma 90.00
loop_
_atom_site_label
_atom_site_type_symbol
_atom_site_fract_x
_atom_site_fract_y
_atom_site_fract_z
Ce1 Ce 0.000 0.000 0.000
Tl1 Tl 0.232 0.500 0.215
I1 I 0.082 0.252 0.810
Cl1 Cl 0.178 0.000 0.305
```

---

Entry 5:
## CeTl2I2Cl4 (PBE)

Data for a geometry-optimized CeTl2I2Cl4 structure.

CIF file:
```
data_CeTl2I2Cl4
_chemical_formula_sum 'Ce2 Tl4 I4 Cl8'
_symmetry_space_group_name_H-M 'I 4/m m m'
_symmetry_Int_Tables_number 139
_symmetry_space_group_name_Hall '-I 4 2'
_cell_length_a 7.446
_cell_length_b 7.446
_cell_length_c 11.923
_cell_angle_alpha 90.00
_cell_angle_beta 90.00
_cell_angle_gamma 90.00
loop_
_atom_site_label
_atom_site_type_symbol
_atom_site_fract_x
_atom_site_fract_y
_atom_site_fract_z
Ce1 Ce 0.000 0.000 0.000
Tl1 Tl 0.000 0.500 0.250
I1 I 0.000 0.000 0.259
Cl1 Cl 0.246 0.246 0.000
```

---

Entry 6:
# CeIn2Cl6 (PBE, relaxed)
data_CeIn2Cl6
_chemical_formula_sum 'Ce2 In4 Cl12'
_symmetry_space_group_name_H-M 'I m m m'
_symmetry_Int_Tables_number 71
_symmetry_space_group_name_Hall '-I 2 2'
_cell_length_a 4.987
_cell_length_b 7.175
_cell_length_c 14.720
_cell_angle_alpha 90.00
_cell_angle_beta 90.00
_cell_angle_gamma 90.00
loop_
_atom_site_label
_atom_site_type_symbol
_atom_site_fract_x
_atom_site_fract_y
_atom_site_fract_z
Ce1 Ce 0.000 0.000 0.000
In1 In 0.000 0.000 0.334
Cl1 Cl 0.000 0.233 0.148
Cl2 Cl 0.000 0.282 0.500
# Distance to the lowest polymorph of the same formula: 4.1 kJ/mol of atoms
# Fermi-level density of states: 0.307 states/eV/atom

---

no.,VASP energy (eV/atom),formation energy from raw total energies (eV/atom)
1,-4.0962,-1.82
2,-4.0162,-1.75
3,-3.8110,-1.77
4,-3.4281,-1.14
5,-3.6831,-1.33
6,-3.9418,-1.44